w.
This record from Alexandria describes Al2SiP after structural relaxation. The functional is PBE-GGA.

Geometry as POSCAR:
```
Al2SiP
1.0
2.7186 0.0000 0.0000
0.0000 3.3486 0.0000
0.0000 0.0000 6.7744
Al Si P
2 1 1
direct
0.0000 0.0000 0.2416
0.0000 0.0000 0.7584
0.5000 0.5000 0.5000
0.5000 0.5000 0.0000
```

x.
This record from Alexandria describes Al2SiP after structural relaxation. The functional is PBE-GGA.

Geometry as POSCAR:
```
Al2SiP
1.0
2.7789 0.0000 0.0000
0.0000 4.5256 0.0000
0.0000 0.0000 5.1369
Al Si P
2 1 1
direct
0.0000 0.0000 0.0000
0.5000 0.5000 0.5000
0.0000 0.0000 0.5000
0.5000 0.5000 0.0000
```

y.
This record from Alexandria describes Al2SiP after structural relaxation. The functional is PBE-GGA.

Geometry as POSCAR:
```
Al2SiP
1.0
-2.8504 2.8504 5.4849
2.8504 -2.8504 5.4849
2.8504 2.8504 -5.4849
Al Si P
4 2 2
direct
0.1109 0.6250 0.9859
0.3750 0.3609 0.4859
0.6391 0.1250 0.0141
0.8750 0.8891 0.5141
0.2500 0.7500 0.5000
0.5000 0.5000 0.0000
0.0000 0.0000 0.0000
0.7500 0.2500 0.5000
```

According to the calculations, the structures order from most to least stable as y, x, w.

w.
This record from Alexandria describes Al2SiP after structural relaxation. The functional is PBE-GGA.

Geometry as POSCAR:
```
Al2SiP
1.0
3.7562 0.0000 0.0000
0.0000 3.4869 0.0000
-1.7807 0.0000 5.0921
Al Si P
2 1 1
direct
0.2135 0.0000 0.2525
0.7865 0.0000 0.7475
0.5000 0.5000 0.0000
0.0000 0.5000 0.5000
```

x.
This record from Alexandria describes Al2SiP after structural relaxation. The functional is PBE-GGA.

Geometry as POSCAR:
```
Al2SiP
1.0
3.0392 -1.7502 0.0000
3.0392 1.7502 0.0000
-1.9712 0.0000 6.4258
Al Si P
2 1 1
direct
0.2410 0.2410 0.2265
0.7590 0.7590 0.7735
0.0000 0.0000 0.5000
0.5000 0.5000 0.0000
```

According to the calculations, the structures order from most to least stable as x, w.

w.
This record from Alexandria describes Al2SiP after structural relaxation. The functional is PBE-GGA.

Geometry as POSCAR:
```
Al2SiP
1.0
1.4517 0.8381 8.3687
-1.4517 0.8381 8.3687
0.0000 -1.6763 8.3687
Al Si P
2 1 1
direct
0.2489 0.2489 0.2489
0.7511 0.7511 0.7511
0.0000 0.0000 0.0000
0.5000 0.5000 0.5000
```

x.
This record from Alexandria describes Al2SiP after structural relaxation. The functional is PBE-GGA.

Geometry as POSCAR:
```
Al2SiP
1.0
1.9831 -2.2469 0.0000
1.9831 2.2469 0.0000
0.0000 0.0000 6.9745
Al Si P
2 1 1
direct
0.0000 0.0000 0.2315
0.0000 0.0000 0.7685
0.5000 0.5000 0.5000
0.5000 0.5000 0.0000
```

According to the calculations, the structures order from most to least stable as x, w.

w.
This record from Alexandria describes Al2SiP after structural relaxation. The functional is PBE-GGA.

Geometry as POSCAR:
```
Al2SiP
1.0
3.0840 0.0000 0.0000
0.0000 3.0840 0.0000
0.0000 0.0000 6.5186
Al Si P
2 1 1
direct
0.0000 0.0000 0.0000
0.5000 0.5000 0.2975
0.5000 0.5000 0.7321
0.0000 0.0000 0.5385
```

x.
This record from Alexandria describes Al2SiP after structural relaxation. The functional is PBE-GGA.

Geometry as POSCAR:
```
Al2SiP
1.0
3.3832 0.0000 0.0000
0.0000 4.2634 0.0000
0.0000 0.0000 4.2767
Al Si P
2 1 1
direct
0.0000 0.0000 0.0000
0.0000 0.5000 0.5000
0.5000 0.0000 0.5000
0.5000 0.5000 0.0000
```

According to the calculations, the structures order from most to least stable as w, x.

w.
This record from Alexandria describes Al2SiP after structural relaxation. The functional is PBE-GGA.

Geometry as POSCAR:
```
Al2SiP
1.0
1.6365 -2.2687 0.0000
1.6365 2.2687 0.0000
0.0000 0.0000 8.4821
Al Si P
2 1 1
direct
0.0000 0.0000 0.0000
0.5000 0.5000 0.2716
0.0000 0.0000 0.5280
0.5000 0.5000 0.7602
```

x.
This record from Alexandria describes Al2SiP after structural relaxation. The functional is PBE-GGA.

Geometry as POSCAR:
```
Al2SiP
1.0
0.0000 3.1424 3.1424
3.1424 0.0000 3.1424
3.1424 3.1424 0.0000
Al Si P
2 1 1
direct
0.2500 0.2500 0.2500
0.7500 0.7500 0.7500
0.0000 0.0000 0.0000
0.5000 0.5000 0.5000
```

y.
This record from Alexandria describes Al2SiP after structural relaxation. The functional is PBE-GGA.

Geometry as POSCAR:
```
Al2SiP
1.0
0.0000 3.1581 3.1581
3.1581 0.0000 3.1581
3.1581 3.1581 0.0000
Al Si P
2 1 1
direct
0.0000 0.0000 0.0000
0.2500 0.2500 0.2500
0.5000 0.5000 0.5000
0.7500 0.7500 0.7500
```

According to the calculations, the structures order from most to least stable as x, w, y.

w.
This record from Alexandria describes AlSi2P after structural relaxation. The functional is PBE-GGA.

Geometry as POSCAR:
```
AlSi2P
1.0
0.0000 2.6093 4.7709
2.4804 0.0000 4.7709
2.4804 2.6093 0.0000
Al Si P
1 2 1
direct
0.0000 0.0000 0.0000
0.0000 0.5000 0.5000
0.5000 0.0000 0.0000
0.5000 0.5000 0.5000
```

x.
This record from Alexandria describes AlSi2P after structural relaxation. The functional is PBE-GGA.

Geometry as POSCAR:
```
AlSi2P
1.0
-1.5801 2.1798 4.3172
1.5801 -2.1798 4.3172
1.5801 2.1798 -4.3172
Al Si P
1 2 1
direct
0.0000 0.0000 0.0000
0.2805 0.7805 0.5000
0.7195 0.2195 0.5000
0.5000 0.5000 0.0000
```

According to the calculations, the structures order from most to least stable as w, x.

w.
This record from Alexandria describes AlSi2P after structural relaxation. The functional is PBE-GGA.

Geometry as POSCAR:
```
AlSi2P
1.0
3.3319 0.0000 0.0000
0.0000 3.3319 0.0000
0.0000 0.0000 5.3766
Al Si P
1 2 1
direct
0.0000 0.0000 0.0000
0.5000 0.5000 0.2662
0.5000 0.5000 0.7338
0.0000 0.0000 0.5000
```

x.
This record from Alexandria describes AlSi2P after structural relaxation. The functional is PBE-GGA.

Geometry as POSCAR:
```
AlSi2P
1.0
3.5236 0.0000 0.0000
0.0000 3.5236 0.0000
0.0000 0.0000 5.0832
Al Si P
1 2 1
direct
0.0000 0.0000 0.0000
0.0000 0.5000 0.5000
0.5000 0.0000 0.5000
0.5000 0.5000 0.0000
```

y.
This record from Alexandria describes AlSi2P after structural relaxation. The functional is PBE-GGA.

Geometry as POSCAR:
```
AlSi2P
1.0
1.7373 1.0030 6.2805
-1.7373 1.0030 6.2805
0.0000 -2.0061 6.2805
Al Si P
1 2 1
direct
0.0000 0.0000 0.0000
0.2400 0.2400 0.2400
0.4922 0.4922 0.4922
0.7519 0.7519 0.7519
```

According to the calculations, the structures order from most to least stable as y, x, w.

w.
This record from Alexandria describes AlSiP2 after structural relaxation. The functional is PBE-GGA.

Geometry as POSCAR:
```
AlSiP2
1.0
1.7274 -2.7925 0.0000
1.7274 2.7925 0.0000
0.0000 0.0000 6.7786
Al Si P
1 1 2
direct
0.0000 0.0000 0.0000
0.0000 0.0000 0.5000
0.5000 0.5000 0.2568
0.5000 0.5000 0.7432
```

x.
This record from Alexandria describes AlSiP2 after structural relaxation. The functional is PBE-GGA.

Geometry as POSCAR:
```
AlSiP2
1.0
3.0647 -1.7612 0.0000
3.0647 1.7612 0.0000
-2.0759 0.0000 5.8573
Al Si P
1 1 2
direct
0.0000 0.0000 0.0000
0.5000 0.5000 0.5000
0.2462 0.2462 0.7365
0.7538 0.7538 0.2635
```

According to the calculations, the structures order from most to least stable as x, w.

w.
This record from Alexandria describes AlSiP2 after structural relaxation. The functional is PBE-GGA.

Geometry as POSCAR:
```
AlSiP2
1.0
-1.6974 1.9802 4.9767
1.6974 -1.9802 4.9767
1.6974 1.9802 -4.9767
Al Si P
1 1 2
direct
0.0000 0.0000 0.0000
0.5000 0.5000 0.0000
0.3300 0.8300 0.5000
0.6700 0.1700 0.5000
```

x.
This record from Alexandria describes AlSiP2 after structural relaxation. The functional is PBE-GGA.

Geometry as POSCAR:
```
AlSiP2
1.0
-2.6882 2.6882 5.4135
2.6882 -2.6882 5.4135
2.6882 2.6882 -5.4135
Al Si P
2 2 4
direct
0.0000 0.0000 0.0000
0.7500 0.2500 0.5000
0.2500 0.7500 0.5000
0.5000 0.5000 0.0000
0.1368 0.6250 0.0118
0.3750 0.3868 0.5118
0.6132 0.1250 0.9882
0.8750 0.8632 0.4882
```

y.
This record from Alexandria describes AlSiP2 after structural relaxation. The functional is PBE-GGA.

Geometry as POSCAR:
```
AlSiP2
1.0
-1.6323 1.6612 5.8824
1.6323 -1.6612 5.8824
1.6323 1.6612 -5.8824
Al Si P
1 1 2
direct
0.0000 0.0000 0.0000
0.7454 0.2454 0.5000
0.3311 0.8311 0.5000
0.5892 0.5892 0.0000
```

z.
This record from Alexandria describes AlSiP2 after structural relaxation. The functional is PBE-GGA.

Geometry as POSCAR:
```
AlSiP2
1.0
1.7740 -2.2335 0.0000
1.7740 2.2335 0.0000
0.0000 0.0000 8.7139
Al Si P
1 1 2
direct
0.0000 0.0000 0.0000
0.5000 0.5000 0.2327
0.0000 0.0000 0.4081
0.5000 0.5000 0.7939
```

According to the calculations, the structures order from most to least stable as x, y, w, z.

w.
This record from Alexandria describes AlSi2P2 after structural relaxation. The functional is PBE-GGA.

Geometry as POSCAR:
```
AlSi2P2
1.0
3.5383 -2.3120 0.0000
3.5383 2.3120 0.0000
-0.0130 0.0000 4.9163
Al Si P
1 2 2
direct
0.0000 0.0000 0.0000
0.3205 0.3205 0.7379
0.6795 0.6795 0.2621
0.3260 0.3260 0.2455
0.6740 0.6740 0.7545
```

x.
This record from Alexandria describes AlSi2P2 after structural relaxation. The functional is PBE-GGA.

Geometry as POSCAR:
```
AlSi2P2
1.0
7.3262 0.0000 0.0000
0.0000 7.3262 0.0000
0.0000 0.0000 3.4731
Al Si P
2 4 4
direct
0.0000 0.0000 0.0000
0.5000 0.5000 0.0000
0.1089 0.3911 0.5000
0.3911 0.8911 0.5000
0.6089 0.1089 0.5000
0.8911 0.6089 0.5000
0.2432 0.2568 0.0000
0.2568 0.7568 0.0000
0.7432 0.2432 0.0000
0.7568 0.7432 0.0000
```

According to the calculations, the structures order from most to least stable as w, x.

w.
This record from Alexandria describes Al2SiP2 after structural relaxation. The functional is PBE-GGA.

Geometry as POSCAR:
```
Al2SiP2
1.0
3.4791 0.0000 0.0000
-1.7395 3.0130 0.0000
0.0000 0.0000 8.0222
Al Si P
2 1 2
direct
0.3333 0.6667 0.3681
0.6667 0.3333 0.6319
0.0000 0.0000 0.0000
0.3333 0.6667 0.8256
0.6667 0.3333 0.1744
```

x.
This record from Alexandria describes Al2SiP2 after structural relaxation. The functional is PBE-GGA.

Geometry as POSCAR:
```
Al2SiP2
1.0
3.4134 -2.3970 0.0000
3.4134 2.3970 0.0000
-0.0229 0.0000 5.2025
Al Si P
2 1 2
direct
0.1740 0.1740 0.2281
0.8260 0.8260 0.7719
0.5000 0.5000 0.5000
0.1910 0.1910 0.7453
0.8090 0.8090 0.2547
```

According to the calculations, the structures order from most to least stable as w, x.

w.
This record from Alexandria describes AlSn2P after structural relaxation. The functional is PBE-GGA.

Geometry as POSCAR:
```
AlSn2P
1.0
-3.0734 3.0734 6.1119
3.0734 -3.0734 6.1119
3.0734 3.0734 -6.1119
Al Sn P
2 4 2
direct
0.0000 0.0000 0.0000
0.7500 0.2500 0.5000
0.1342 0.6250 0.0092
0.3750 0.3842 0.5092
0.6158 0.1250 0.9908
0.8750 0.8658 0.4908
0.2500 0.7500 0.5000
0.5000 0.5000 0.0000
```

x.
This record from Alexandria describes AlSn2P after structural relaxation. The functional is PBE-GGA.

Geometry as POSCAR:
```
AlSn2P
1.0
0.0000 3.5325 3.5325
3.5325 0.0000 3.5325
3.5325 3.5325 0.0000
Al Sn P
1 2 1
direct
0.0000 0.0000 0.0000
0.2500 0.2500 0.2500
0.7500 0.7500 0.7500
0.5000 0.5000 0.5000
```

According to the calculations, the structures order from most to least stable as w, x.